--- 1 ---
An optimized crystal structure of CoRuBr2, computed with PBE-GGA.

CIF file:
```
data_CoRuBr2
_cell_length_a 7.323
_cell_length_b 7.323
_cell_length_c 3.622
_cell_angle_alpha 103.44
_cell_angle_beta 103.44
_cell_angle_gamma 30.11
_symmetry_space_group_name_H-M 'P 1'
_symmetry_Int_Tables_number 1
_symmetry_space_group_name_Hall 'P 1'
loop_
_atom_site_label
_atom_site_type_symbol
_atom_site_fract_x
_atom_site_fract_y
_atom_site_fract_z
Co1 Co 0.000 0.000 0.000
Ru1 Ru 0.500 0.500 0.500
Br1 Br 0.369 0.369 0.877
Br2 Br 0.631 0.631 0.123
```

- calculated volume (Å³/cell) = 95
- magnetization (μB/cell) = 2.7
- crystal system = monoclinic
- symmetry = No. 12



--- 2 ---
An optimized crystal structure of CoRuBr2, computed with PBE-GGA.

CIF file:
```
data_CoRuBr2
_cell_length_a 6.422
_cell_length_b 6.422
_cell_length_c 6.422
_cell_angle_alpha 146.75
_cell_angle_beta 146.75
_cell_angle_gamma 47.74
_symmetry_space_group_name_H-M 'P 1'
_symmetry_Int_Tables_number 1
_symmetry_space_group_name_Hall 'P 1'
loop_
_atom_site_label
_atom_site_type_symbol
_atom_site_fract_x
_atom_site_fract_y
_atom_site_fract_z
Co1 Co 0.000 0.000 0.000
Ru1 Ru 0.250 0.750 0.500
Br1 Br 0.500 0.500 0.000
Br2 Br 0.750 0.250 0.500
```

- calculated volume (Å³/cell) = 79
- magnetization (μB/cell) = 4.2
- crystal system = tetragonal
- symmetry = No. 119



--- 3 ---
An optimized crystal structure of CoRuBr2, computed with PBE-GGA.

CIF file:
```
data_CoRuBr2
_cell_length_a 3.530
_cell_length_b 3.530
_cell_length_c 8.342
_cell_angle_alpha 90.00
_cell_angle_beta 90.00
_cell_angle_gamma 115.48
_symmetry_space_group_name_H-M 'P 1'
_symmetry_Int_Tables_number 1
_symmetry_space_group_name_Hall 'P 1'
loop_
_atom_site_label
_atom_site_type_symbol
_atom_site_fract_x
_atom_site_fract_y
_atom_site_fract_z
Co1 Co 0.000 0.000 0.000
Ru1 Ru 0.500 0.500 0.153
Br1 Br 0.000 0.000 0.372
Br2 Br 0.500 0.500 0.814
```

- calculated volume (Å³/cell) = 94
- magnetization (μB/cell) = 3.3
- crystal system = orthorhombic
- symmetry = No. 35



--- 4 ---
An optimized crystal structure of CoRuBr2, computed with PBE-GGA.

CIF file:
```
data_CoRuBr2
_cell_length_a 4.764
_cell_length_b 4.764
_cell_length_c 4.764
_cell_angle_alpha 60.00
_cell_angle_beta 60.00
_cell_angle_gamma 60.00
_symmetry_space_group_name_H-M 'P 1'
_symmetry_Int_Tables_number 1
_symmetry_space_group_name_Hall 'P 1'
loop_
_atom_site_label
_atom_site_type_symbol
_atom_site_fract_x
_atom_site_fract_y
_atom_site_fract_z
Co1 Co 0.000 0.000 0.000
Ru1 Ru 0.250 0.250 0.250
Br1 Br 0.500 0.500 0.500
Br2 Br 0.750 0.750 0.750
```

- calculated volume (Å³/cell) = 76
- magnetization (μB/cell) = 5.0
- crystal system = cubic
- symmetry = No. 216



Least stable structure: 4



--- 1 ---
An optimized crystal structure of CoRuBr2, computed with PBE-GGA.

CIF file:
```
data_CoRuBr2
_cell_length_a 6.881
_cell_length_b 6.881
_cell_length_c 6.881
_cell_angle_alpha 131.22
_cell_angle_beta 131.22
_cell_angle_gamma 71.47
_symmetry_space_group_name_H-M 'P 1'
_symmetry_Int_Tables_number 1
_symmetry_space_group_name_Hall 'P 1'
loop_
_atom_site_label
_atom_site_type_symbol
_atom_site_fract_x
_atom_site_fract_y
_atom_site_fract_z
Co1 Co 0.000 0.000 0.000
Co2 Co 0.750 0.250 0.500
Ru1 Ru 0.250 0.750 0.500
Ru2 Ru 0.500 0.500 0.000
Br1 Br 0.106 0.625 0.981
Br2 Br 0.375 0.356 0.481
Br3 Br 0.644 0.125 0.019
Br4 Br 0.875 0.894 0.519
```

- calculated volume (Å³/cell) = 180
- magnetization (μB/cell) = 7.6
- crystal system = tetragonal
- symmetry = No. 122



--- 2 ---
An optimized crystal structure of CoRuBr2, computed with PBE-GGA.

CIF file:
```
data_CoRuBr2
_cell_length_a 3.218
_cell_length_b 4.045
_cell_length_c 6.181
_cell_angle_alpha 90.00
_cell_angle_beta 90.00
_cell_angle_gamma 90.00
_symmetry_space_group_name_H-M 'P 1'
_symmetry_Int_Tables_number 1
_symmetry_space_group_name_Hall 'P 1'
loop_
_atom_site_label
_atom_site_type_symbol
_atom_site_fract_x
_atom_site_fract_y
_atom_site_fract_z
Co1 Co 0.000 0.000 0.000
Ru1 Ru 0.500 0.000 0.500
Br1 Br 0.000 0.500 0.500
Br2 Br 0.500 0.500 0.000
```

- calculated volume (Å³/cell) = 80
- magnetization (μB/cell) = 4.2
- crystal system = orthorhombic
- symmetry = No. 47



Least stable structure: 2



--- 1 ---
An optimized crystal structure of CoRuBr2, computed with PBE-GGA.

CIF file:
```
data_CoRuBr2
_cell_length_a 8.130
_cell_length_b 8.130
_cell_length_c 8.130
_cell_angle_alpha 155.81
_cell_angle_beta 155.48
_cell_angle_gamma 34.71
_symmetry_space_group_name_H-M 'P 1'
_symmetry_Int_Tables_number 1
_symmetry_space_group_name_Hall 'P 1'
loop_
_atom_site_label
_atom_site_type_symbol
_atom_site_fract_x
_atom_site_fract_y
_atom_site_fract_z
Co1 Co 0.000 0.000 0.000
Ru1 Ru 0.896 0.396 0.500
Br1 Br 0.321 0.821 0.500
Br2 Br 0.578 0.578 0.000
```

- calculated volume (Å³/cell) = 91
- magnetization (μB/cell) = 3.1
- crystal system = orthorhombic
- symmetry = No. 44



--- 2 ---
An optimized crystal structure of CoRuBr2, computed with PBE-GGA.

CIF file:
```
data_CoRuBr2
_cell_length_a 5.288
_cell_length_b 5.288
_cell_length_c 5.288
_cell_angle_alpha 144.61
_cell_angle_beta 108.20
_cell_angle_gamma 82.67
_symmetry_space_group_name_H-M 'P 1'
_symmetry_Int_Tables_number 1
_symmetry_space_group_name_Hall 'P 1'
loop_
_atom_site_label
_atom_site_type_symbol
_atom_site_fract_x
_atom_site_fract_y
_atom_site_fract_z
Co1 Co 0.000 0.000 0.000
Ru1 Ru 0.500 0.500 0.000
Br1 Br 0.239 0.739 0.500
Br2 Br 0.761 0.261 0.500
```

- calculated volume (Å³/cell) = 79
- magnetization (μB/cell) = 4.0
- crystal system = orthorhombic
- symmetry = No. 71



Least stable structure: 2



--- 1 ---
An optimized crystal structure of CoRuBr2, computed with PBE-GGA.

CIF file:
```
data_CoRuBr2
_cell_length_a 5.145
_cell_length_b 5.145
_cell_length_c 3.382
_cell_angle_alpha 105.60
_cell_angle_beta 105.60
_cell_angle_gamma 103.24
_symmetry_space_group_name_H-M 'P 1'
_symmetry_Int_Tables_number 1
_symmetry_space_group_name_Hall 'P 1'
loop_
_atom_site_label
_atom_site_type_symbol
_atom_site_fract_x
_atom_site_fract_y
_atom_site_fract_z
Co1 Co 0.000 0.000 0.000
Ru1 Ru 0.500 0.500 0.000
Br1 Br 0.000 0.500 0.000
Br2 Br 0.500 0.000 0.000
```

- calculated volume (Å³/cell) = 79
- magnetization (μB/cell) = 3.7
- crystal system = monoclinic
- symmetry = No. 12



--- 2 ---
An optimized crystal structure of CoRuBr2, computed with PBE-GGA.

CIF file:
```
data_CoRuBr2
_cell_length_a 8.159
_cell_length_b 8.159
_cell_length_c 8.159
_cell_angle_alpha 23.86
_cell_angle_beta 23.86
_cell_angle_gamma 23.86
_symmetry_space_group_name_H-M 'P 1'
_symmetry_Int_Tables_number 1
_symmetry_space_group_name_Hall 'P 1'
loop_
_atom_site_label
_atom_site_type_symbol
_atom_site_fract_x
_atom_site_fract_y
_atom_site_fract_z
Co1 Co 0.000 0.000 0.000
Ru1 Ru 0.500 0.500 0.500
Br1 Br 0.398 0.398 0.398
Br2 Br 0.602 0.602 0.602
```

- calculated volume (Å³/cell) = 78
- magnetization (μB/cell) = 0.9
- crystal system = trigonal
- symmetry = No. 166



Least stable structure: 1



--- 1 ---
An optimized crystal structure of CoRuBr2, computed with PBE-GGA.

CIF file:
```
data_CoRuBr2
_cell_length_a 4.561
_cell_length_b 4.561
_cell_length_c 3.208
_cell_angle_alpha 90.00
_cell_angle_beta 90.00
_cell_angle_gamma 90.00
_symmetry_space_group_name_H-M 'P 1'
_symmetry_Int_Tables_number 1
_symmetry_space_group_name_Hall 'P 1'
loop_
_atom_site_label
_atom_site_type_symbol
_atom_site_fract_x
_atom_site_fract_y
_atom_site_fract_z
Co1 Co 0.000 0.000 0.000
Ru1 Ru 0.500 0.500 0.000
Br1 Br 0.000 0.500 0.500
Br2 Br 0.500 0.000 0.500
```

- calculated volume (Å³/cell) = 67
- magnetization (μB/cell) = 2.6
- crystal system = tetragonal
- symmetry = No. 123



--- 2 ---
An optimized crystal structure of CoRuBr2, computed with PBE-GGA.

CIF file:
```
data_CoRuBr2
_cell_length_a 4.545
_cell_length_b 4.545
_cell_length_c 4.545
_cell_angle_alpha 60.00
_cell_angle_beta 60.00
_cell_angle_gamma 60.00
_symmetry_space_group_name_H-M 'P 1'
_symmetry_Int_Tables_number 1
_symmetry_space_group_name_Hall 'P 1'
loop_
_atom_site_label
_atom_site_type_symbol
_atom_site_fract_x
_atom_site_fract_y
_atom_site_fract_z
Co1 Co 0.000 0.000 0.000
Ru1 Ru 0.500 0.500 0.500
Br1 Br 0.250 0.250 0.250
Br2 Br 0.750 0.750 0.750
```

- calculated volume (Å³/cell) = 66
- magnetization (μB/cell) = 1.9
- crystal system = cubic
- symmetry = No. 225



Least stable structure: 2



--- 1 ---
An optimized crystal structure of CoS2Br, computed with PBE-GGA.

CIF file:
```
data_CoS2Br
_cell_length_a 6.249
_cell_length_b 6.249
_cell_length_c 6.249
_cell_angle_alpha 121.10
_cell_angle_beta 121.10
_cell_angle_gamma 88.10
_symmetry_space_group_name_H-M 'P 1'
_symmetry_Int_Tables_number 1
_symmetry_space_group_name_Hall 'P 1'
loop_
_atom_site_label
_atom_site_type_symbol
_atom_site_fract_x
_atom_site_fract_y
_atom_site_fract_z
Co1 Co 0.000 0.000 0.000
Co2 Co 0.750 0.250 0.500
S1 S 0.017 0.625 0.892
S2 S 0.375 0.267 0.392
S3 S 0.733 0.125 0.108
S4 S 0.875 0.983 0.608
Br1 Br 0.250 0.750 0.500
Br2 Br 0.500 0.500 0.000
```

- calculated volume (Å³/cell) = 170
- magnetization (μB/cell) = 0.0
- crystal system = tetragonal
- symmetry = No. 122



--- 2 ---
An optimized crystal structure of CoS2Br, computed with PBE-GGA.

CIF file:
```
data_CoS2Br
_cell_length_a 7.339
_cell_length_b 7.339
_cell_length_c 7.339
_cell_angle_alpha 27.45
_cell_angle_beta 27.45
_cell_angle_gamma 27.45
_symmetry_space_group_name_H-M 'P 1'
_symmetry_Int_Tables_number 1
_symmetry_space_group_name_Hall 'P 1'
loop_
_atom_site_label
_atom_site_type_symbol
_atom_site_fract_x
_atom_site_fract_y
_atom_site_fract_z
Co1 Co 0.000 0.000 0.000
S1 S 0.384 0.384 0.384
S2 S 0.616 0.616 0.616
Br1 Br 0.500 0.500 0.500
```

- calculated volume (Å³/cell) = 74
- magnetization (μB/cell) = 0.0
- crystal system = trigonal
- symmetry = No. 166



--- 3 ---
An optimized crystal structure of CoS2Br, computed with PBE-GGA.

CIF file:
```
data_CoS2Br
_cell_length_a 12.630
_cell_length_b 12.630
_cell_length_c 12.630
_cell_angle_alpha 12.66
_cell_angle_beta 12.66
_cell_angle_gamma 12.66
_symmetry_space_group_name_H-M 'P 1'
_symmetry_Int_Tables_number 1
_symmetry_space_group_name_Hall 'P 1'
loop_
_atom_site_label
_atom_site_type_symbol
_atom_site_fract_x
_atom_site_fract_y
_atom_site_fract_z
Co1 Co 0.000 0.000 0.000
S1 S 0.056 0.056 0.056
S2 S 0.944 0.944 0.944
Br1 Br 0.500 0.500 0.500
```

- calculated volume (Å³/cell) = 84
- magnetization (μB/cell) = 0.9
- crystal system = trigonal
- symmetry = No. 166



--- 4 ---
An optimized crystal structure of CoS2Br, computed with PBE-GGA.

CIF file:
```
data_CoS2Br
_cell_length_a 4.552
_cell_length_b 4.552
_cell_length_c 4.552
_cell_angle_alpha 60.00
_cell_angle_beta 60.00
_cell_angle_gamma 60.00
_symmetry_space_group_name_H-M 'P 1'
_symmetry_Int_Tables_number 1
_symmetry_space_group_name_Hall 'P 1'
loop_
_atom_site_label
_atom_site_type_symbol
_atom_site_fract_x
_atom_site_fract_y
_atom_site_fract_z
Co1 Co 0.000 0.000 0.000
S1 S 0.250 0.250 0.250
S2 S 0.750 0.750 0.750
Br1 Br 0.500 0.500 0.500
```

- calculated volume (Å³/cell) = 67
- magnetization (μB/cell) = 1.5
- crystal system = cubic
- symmetry = No. 225



Least stable structure: 4



--- 1 ---
An optimized crystal structure of CoSBr3, computed with PBE-GGA.

CIF file:
```
data_CoSBr3
_cell_length_a 4.856
_cell_length_b 4.856
_cell_length_c 4.856
_cell_angle_alpha 90.00
_cell_angle_beta 90.00
_cell_angle_gamma 90.00
_symmetry_space_group_name_H-M 'P 1'
_symmetry_Int_Tables_number 1
_symmetry_space_group_name_Hall 'P 1'
loop_
_atom_site_label
_atom_site_type_symbol
_atom_site_fract_x
_atom_site_fract_y
_atom_site_fract_z
Co1 Co 0.000 0.000 0.000
S1 S 0.500 0.500 0.500
Br1 Br 0.000 0.000 0.500
Br2 Br 0.000 0.500 0.000
Br3 Br 0.500 0.000 0.000
```

- calculated volume (Å³/cell) = 115
- magnetization (μB/cell) = 1.9
- crystal system = cubic
- symmetry = No. 221



--- 2 ---
An optimized crystal structure of CoSBr3, computed with PBE-GGA.

CIF file:
```
data_CoSBr3
_cell_length_a 5.161
_cell_length_b 5.161
_cell_length_c 5.161
_cell_angle_alpha 90.00
_cell_angle_beta 90.00
_cell_angle_gamma 90.00
_symmetry_space_group_name_H-M 'P 1'
_symmetry_Int_Tables_number 1
_symmetry_space_group_name_Hall 'P 1'
loop_
_atom_site_label
_atom_site_type_symbol
_atom_site_fract_x
_atom_site_fract_y
_atom_site_fract_z
Co1 Co 0.000 0.000 0.000
S1 S 0.500 0.500 0.500
Br1 Br 0.000 0.500 0.500
Br2 Br 0.500 0.000 0.500
Br3 Br 0.500 0.500 0.000
```

- calculated volume (Å³/cell) = 137
- magnetization (μB/cell) = 2.4
- crystal system = cubic
- symmetry = No. 221



Least stable structure: 2



--- 1 ---
An optimized crystal structure of Co2S2Br, computed with PBE-GGA.

CIF file:
```
data_Co2S2Br
_cell_length_a 6.619
_cell_length_b 6.619
_cell_length_c 6.619
_cell_angle_alpha 145.59
_cell_angle_beta 145.59
_cell_angle_gamma 49.46
_symmetry_space_group_name_H-M 'P 1'
_symmetry_Int_Tables_number 1
_symmetry_space_group_name_Hall 'P 1'
loop_
_atom_site_label
_atom_site_type_symbol
_atom_site_fract_x
_atom_site_fract_y
_atom_site_fract_z
Co1 Co 0.166 0.166 0.000
Co2 Co 0.834 0.834 0.000
S1 S 0.250 0.750 0.500
S2 S 0.750 0.250 0.500
Br1 Br 0.500 0.500 0.000
```

- calculated volume (Å³/cell) = 92
- magnetization (μB/cell) = 0.0
- crystal system = tetragonal
- symmetry = No. 139



--- 2 ---
An optimized crystal structure of Co2S2Br, computed with PBE-GGA.

CIF file:
```
data_Co2S2Br
_cell_length_a 7.823
_cell_length_b 7.823
_cell_length_c 7.823
_cell_angle_alpha 153.99
_cell_angle_beta 153.99
_cell_angle_gamma 37.11
_symmetry_space_group_name_H-M 'P 1'
_symmetry_Int_Tables_number 1
_symmetry_space_group_name_Hall 'P 1'
loop_
_atom_site_label
_atom_site_type_symbol
_atom_site_fract_x
_atom_site_fract_y
_atom_site_fract_z
Co1 Co 0.250 0.750 0.500
Co2 Co 0.750 0.250 0.500
S1 S 0.163 0.163 0.000
S2 S 0.837 0.837 0.000
Br1 Br 0.500 0.500 0.000
```

- calculated volume (Å³/cell) = 92
- magnetization (μB/cell) = 0.0
- crystal system = tetragonal
- symmetry = No. 139



Least stable structure: 1